Entry 1:
Computed, not measured: CaLa3 at its PBEsol-relaxed geometry at the SCAN level of DFT.

Cell: 5.2014 5.2014 5.2014 Å, 90.00 90.00 90.00°
Atoms (fractional coordinates):
Ca (0.0000, 0.0000, 0.0000)
La (0.0000, 0.5000, 0.5000)
La (0.5000, 0.0000, 0.5000)
La (0.5000, 0.5000, 0.0000)

Calculated values
Size of the total moment   0.0 Bohr magnetons per cell
Energy of formation from the pure elements   0.078 eV per atom

***

Entry 2:
Computed, not measured: KNb4Bi5O18 at its PBEsol-relaxed geometry at the SCAN level of DFT.

Cell: 12.7893 12.7893 5.5804 Å, 90.00 90.00 155.00°
Atoms (fractional coordinates):
K (0.0000, 0.0000, 0.0000)
Nb (0.0791, 0.9100, 0.4905)
Nb (0.4102, 0.5808, 0.0007)
Nb (0.5808, 0.4102, 0.0007)
Nb (0.9100, 0.0791, 0.4905)
Bi (0.2097, 0.8091, 0.0695)
Bi (0.2515, 0.6514, 0.5702)
Bi (0.5099, 0.5099, 0.5468)
Bi (0.6514, 0.2515, 0.5702)
Bi (0.8091, 0.2097, 0.0695)
O (0.1551, 0.2924, 0.7362)
O (0.2124, 0.3468, 0.2563)
O (0.2157, 0.8979, 0.4729)
O (0.2542, 0.5703, 0.9648)
O (0.2924, 0.1551, 0.7362)
O (0.3468, 0.2124, 0.2563)
O (0.4745, 0.9703, 0.7922)
O (0.4960, 0.9923, 0.2907)
O (0.5366, 0.5366, 0.9439)
O (0.5703, 0.2542, 0.9648)
O (0.6118, 0.7814, 0.6785)
O (0.6951, 0.8773, 0.1802)
O (0.7814, 0.6118, 0.6785)
O (0.8773, 0.6951, 0.1802)
O (0.8979, 0.2157, 0.4729)
O (0.9143, 0.9143, 0.4665)
O (0.9703, 0.4745, 0.7922)
O (0.9923, 0.4960, 0.2907)

Calculated values
Size of the total moment   0.0 Bohr magnetons per cell
E_form (uncorrected)   -2.059 eV per atom

***

Entry 3:
Computed, not measured: Li3TiV2O6 at its PBEsol-relaxed geometry at the SCAN level of DFT.

Cell: 6.5838 6.5838 5.8770 Å, 107.50 107.50 24.70°
Atoms (fractional coordinates):
Li (0.0000, 0.0000, 0.0000)
Li (0.3313, 0.3313, 0.6555)
Li (0.6687, 0.6687, 0.3445)
Ti (0.0000, 0.0000, 0.5000)
V (0.3193, 0.3193, 0.1289)
V (0.6807, 0.6807, 0.8711)
O (0.1613, 0.1613, 0.0924)
O (0.1619, 0.1619, 0.6034)
O (0.4936, 0.4936, 0.2603)
O (0.5064, 0.5064, 0.7397)
O (0.8381, 0.8381, 0.3966)
O (0.8387, 0.8387, 0.9076)

Calculated values
Size of the total moment   0.0 Bohr magnetons per cell
E_form (uncorrected)   -2.656 eV per atom